A plane-wave DFT calculation with PBE was carried out for Li2TbAsO after structural relaxation.

For the calculated volume, the calculation gives 78.5 Å³/cell. The formation energy without anion corrections comes out at -1.74 eV/atom.

Lattice parameters (Å, degrees): 4.124 4.124 4.614 90.00 90.00 90.00
Element x y z (fractional)
Li 0.000 0.500 0.000
Li 0.500 0.000 0.000
Tb 0.000 0.000 0.500
As 0.500 0.500 0.501
O 0.000 0.000 0.000

***

A plane-wave DFT calculation with PBE was carried out for LiTbAs2O6 after structural relaxation.

For the calculated volume, the calculation gives 259.9 Å³/cell. The formation energy without anion corrections comes out at -1.86 eV/atom.

Lattice parameters (Å, degrees): 6.860 6.761 6.761 74.15 66.09 66.09
Element x y z (fractional)
Li 0.250 0.222 0.778
Li 0.750 0.778 0.222
Tb 0.250 0.831 0.169
Tb 0.750 0.169 0.831
As 0.302 0.730 0.667
As 0.198 0.333 0.270
As 0.698 0.270 0.333
As 0.802 0.667 0.730
O 0.174 0.952 0.817
O 0.326 0.183 0.048
O 0.826 0.048 0.183
O 0.674 0.817 0.952
O 0.436 0.818 0.396
O 0.064 0.604 0.182
O 0.564 0.182 0.604
O 0.936 0.396 0.818
O 0.040 0.764 0.573
O 0.460 0.427 0.236
O 0.960 0.236 0.427
O 0.540 0.573 0.764